1.
Here is a relaxed Tm4HgPd2Rh crystal from the Alexandria database. Energies are from PBE.

POSCAR file:
```
Tm4HgPd2Rh
1.0
4.9482 0.0000 0.0000
2.4741 4.2853 0.0000
2.4741 1.4284 8.0600
Tm Hg Pd Rh
4 1 2 1
direct
0.1302 0.1302 0.6095
0.3817 0.3817 0.8548
0.6183 0.6183 0.1452
0.8698 0.8698 0.3905
0.0000 0.0000 0.0000
0.7494 0.7494 0.7517
0.2506 0.2506 0.2483
0.5000 0.5000 0.5000
```

Computed properties:
Space group: R-3m, No. 166
Calculated formation energy (eV/atom): -0.824
Spin magnetization (μB per formula unit): 0.00

2.
Here is a relaxed Hg3PdRu crystal from the Alexandria database. Energies are from PBE.

POSCAR file:
```
Hg3PdRu
1.0
-2.5722 4.4434 -0.5609
0.4918 -0.3627 -5.1284
-4.4515 -2.6075 -0.2425
Pd Hg Ru
1 3 1
direct
0.5000 0.5000 0.5000
0.0000 0.0000 0.5000
0.5000 0.0000 0.0000
0.0000 0.5000 0.0000
0.0000 0.0000 0.0000
```

Computed properties:
Space group: Pm-3m, No. 221
Energy above the lowest structure with this stoichiometry (meV per atom): 0
Calculated formation energy (eV/atom): 0.872
Spin magnetization (μB per formula unit): 0.67